The following is a PBEsol calculation of an optimized crystal structure of K3Mn5Si12O30, from Alexandria.

Structure (extended XYZ):
```
100
Lattice="10.480 0.000 0.000 -5.240 9.076 0.000 0.000 0.000 14.198" Properties=species:S:1:pos:R:3 pbc="T T T"
O 1.828 6.007 2.349
O 1.720 1.930 5.075
O -2.020 7.973 0.000
O 7.915 2.237 7.099
O 0.655 3.339 7.099
O 7.260 1.102 0.000
O 2.675 6.839 0.000
O 3.520 7.145 5.075
O 7.948 0.524 9.123
O 4.289 4.587 9.448
O -2.708 8.552 5.075
O 2.708 8.552 2.024
O 7.948 0.524 5.075
O 6.116 1.421 2.349
O -2.708 8.552 9.123
O 0.951 4.489 4.750
O 0.877 7.655 9.448
O 3.220 1.102 7.099
O 1.720 1.930 9.123
O 4.289 4.587 4.750
O 0.812 2.455 12.174
O 2.532 0.524 2.024
O 4.363 1.421 4.750
O 2.532 0.524 12.174
O 0.951 4.489 9.448
O 1.828 6.007 11.849
O 8.760 1.930 2.024
O 6.052 6.621 5.075
O 2.020 7.973 7.099
O 7.068 3.068 9.448
O 6.191 4.587 2.349
O 3.412 3.068 11.849
O -1.828 6.007 9.448
O 6.052 6.621 9.123
O 0.812 2.455 2.024
O 4.428 6.621 2.024
O -0.655 3.339 0.000
O -0.951 4.489 2.349
O 0.877 7.655 4.750
O 2.564 2.237 0.000
O 3.520 7.145 9.123
O -0.812 2.455 5.075
O 2.708 8.552 12.174
O 7.068 3.068 4.750
O 4.363 1.421 9.448
O -0.877 7.655 2.349
O -0.877 7.655 11.849
O 4.585 5.736 7.099
O -3.520 7.145 12.174
O -2.675 6.839 7.099
O -1.828 6.007 4.750
O 8.760 1.930 12.174
O -0.812 2.455 9.123
O -0.951 4.489 11.849
O -3.520 7.145 2.024
O 6.191 4.587 11.849
O 6.116 1.421 11.849
O 4.428 6.621 12.174
O 3.412 3.068 2.349
O 5.895 5.736 0.000
Mn 5.240 3.025 10.649
Mn 5.240 3.025 3.550
Mn 0.000 6.050 10.649
Mn 2.620 4.538 10.649
Mn 2.620 4.538 3.550
Mn 5.240 0.000 3.550
Mn -2.620 4.538 10.649
Mn 0.000 6.050 3.550
Mn 5.240 0.000 10.649
Mn -2.620 4.538 3.550
Si 7.480 0.992 12.582
Si -2.881 6.974 5.483
Si -0.640 3.093 12.582
Si 2.359 2.101 1.616
Si -2.241 8.084 12.582
Si -0.640 3.093 1.616
Si 7.480 0.992 1.616
Si 0.640 3.093 5.483
Si 2.999 0.992 5.483
Si 4.599 5.982 5.483
Si 8.121 2.101 8.715
Si -2.881 6.974 8.715
Si 2.881 6.974 12.582
Si 2.241 8.084 5.483
Si 4.599 5.982 8.715
Si 5.880 5.982 12.582
Si 2.999 0.992 8.715
Si -2.241 8.084 1.616
Si 5.880 5.982 1.616
Si 2.881 6.974 1.616
Si 2.241 8.084 8.715
Si 0.640 3.093 8.715
Si 8.121 2.101 5.483
Si 2.359 2.101 12.582
K 0.000 0.000 3.550
K 0.000 6.050 7.099
K 0.000 6.050 0.000
K 0.000 0.000 10.649
K 5.240 3.025 7.099
K 5.240 3.025 0.000
```

## Properties
volume	13.504	Å³ per atom
ΔE_f (raw)	-2409	meV per atom
magnetic moment	0.486	μB per atom


The following is a PBEsol calculation of an optimized crystal structure of K2MnV2O7, from Alexandria.

Structure (extended XYZ):
```
24
Lattice="-2.254 4.840 1.370 -3.487 -3.580 6.912 6.959 1.960 4.526" Properties=species:S:1:pos:R:3 pbc="T T T"
K -1.668 0.027 8.002
K 2.937 3.085 4.774
K -1.213 1.576 3.772
K 2.381 1.752 9.066
O 0.941 -0.595 9.171
O -2.934 1.611 6.137
O -0.143 2.725 8.503
O -0.118 3.671 5.203
O -2.627 -1.928 6.300
O 0.658 2.352 11.142
O -0.217 -0.650 5.750
O 1.410 1.384 2.949
O 1.584 5.051 3.415
O -0.919 4.045 2.565
O -2.102 -1.021 3.674
O 3.022 4.039 7.358
O 2.915 0.693 6.159
O 5.325 1.971 5.608
V 4.609 0.649 6.440
V -1.371 -1.767 5.140
V -0.671 2.770 10.137
V -0.130 4.788 3.898
Mn 1.736 -0.810 5.719
Mn 0.000 0.000 0.000
```

## Properties
volume	16.708	Å³ per atom
ΔE_f (raw)	-2195	meV per atom
magnetic moment	0.417	μB per atom